No. 1
! InBr4 (PBE-GGA, relaxed); values from VASP
&SYSTEM
  ibrav = 0, nat = 5, ntyp = 2
/
ATOMIC_SPECIES
In 114.82 In.upf
Br 79.90 Br.upf
CELL_PARAMETERS angstrom
5.4794 0.0000 0.0000
0.0000 5.4794 0.0000
0.0000 0.0000 5.4794
ATOMIC_POSITIONS crystal
In 0.0000 0.0000 0.0000
Br 0.0000 0.0000 0.5000
Br 0.0000 0.5000 0.0000
Br 0.5000 0.0000 0.0000
Br 0.5000 0.5000 0.5000
! D(E_F) ... 1.1863 states/eV per atom
! Raw total energy ... -2.099 eV/atom
! ΔE_f (raw) ... -20.6 kJ/mol of atoms
! Total moment ... 1.3 Bohr magnetons per cell
! Calculated volume ... 32.90 Å³ per atom

***

No. 2
! InIrBr6 (PBE-GGA, relaxed); values from VASP
&SYSTEM
  ibrav = 0, nat = 8, ntyp = 3
/
ATOMIC_SPECIES
In 114.82 In.upf
Ir 192.22 Ir.upf
Br 79.90 Br.upf
CELL_PARAMETERS angstrom
3.3198 -6.0578 0.0000
3.3198 6.0578 0.0000
-2.1648 0.0000 6.2737
ATOMIC_POSITIONS crystal
In 0.0000 0.0000 0.0000
Ir 0.5000 0.5000 0.5000
Br 0.1246 0.4126 0.2674
Br 0.2648 0.2648 0.7339
Br 0.4126 0.1246 0.2674
Br 0.5874 0.8754 0.7326
Br 0.7352 0.7352 0.2661
Br 0.8754 0.5874 0.7326
! Raw total energy ... -3.131 eV/atom
! ΔE_f (raw) ... -41.1 kJ/mol of atoms
! Total moment ... 0.0 Bohr magnetons per cell
! Calculated volume ... 31.54 Å³ per atom

***

No. 3
! In4IrBr (PBE-GGA, relaxed); values from VASP
&SYSTEM
  ibrav = 0, nat = 6, ntyp = 3
/
ATOMIC_SPECIES
In 114.82 In.upf
Ir 192.22 Ir.upf
Br 79.90 Br.upf
CELL_PARAMETERS angstrom
0.0000 4.2079 4.2079
4.2079 0.0000 4.2079
4.2079 4.2079 0.0000
ATOMIC_POSITIONS crystal
In 0.1245 0.1245 0.1245
In 0.1245 0.1245 0.6266
In 0.1245 0.6266 0.1245
In 0.6266 0.1245 0.1245
Ir 0.7500 0.7500 0.7500
Br 0.5000 0.5000 0.5000
! D(E_F) ... 0.4587 states/eV per atom
! Raw total energy ... -3.012 eV/atom
! ΔE_f (raw) ... 55.0 kJ/mol of atoms
! Total moment ... 0.0 Bohr magnetons per cell
! Calculated volume ... 24.84 Å³ per atom

***

No. 4
! InIrBr (PBE-GGA, relaxed); values from VASP
&SYSTEM
  ibrav = 0, nat = 3, ntyp = 3
/
ATOMIC_SPECIES
In 114.82 In.upf
Ir 192.22 Ir.upf
Br 79.90 Br.upf
CELL_PARAMETERS angstrom
-1.6628 1.6628 5.8256
1.6628 -1.6628 5.8256
1.6628 1.6628 -5.8256
ATOMIC_POSITIONS crystal
In 0.0000 0.0000 0.0000
Ir 0.6159 0.6159 0.0000
Br 0.2883 0.2883 0.0000
! D(E_F) ... 0.6285 states/eV per atom
! Offset from the most stable computed form ... 0.032 eV per atom
! Raw total energy ... -4.003 eV/atom
! ΔE_f (raw) ... 40.6 kJ/mol of atoms
! Total moment ... 0.0 Bohr magnetons per cell
! Calculated volume ... 21.48 Å³ per atom

***

No. 5
! InIr3Br (PBE-GGA, relaxed); values from VASP
&SYSTEM
  ibrav = 0, nat = 5, ntyp = 3
/
ATOMIC_SPECIES
In 114.82 In.upf
Ir 192.22 Ir.upf
Br 79.90 Br.upf
CELL_PARAMETERS angstrom
4.6618 0.0000 0.0000
0.0000 4.6618 0.0000
0.0000 0.0000 4.6618
ATOMIC_POSITIONS crystal
In 0.0000 0.0000 0.0000
Ir 0.0000 0.5000 0.5000
Ir 0.5000 0.0000 0.5000
Ir 0.5000 0.5000 0.0000
Br 0.5000 0.5000 0.5000
! D(E_F) ... 0.9742 states/eV per atom
! Offset from the most stable computed form ... 0.000 eV per atom
! Raw total energy ... -4.551 eV/atom
! ΔE_f (raw) ... 159.0 kJ/mol of atoms
! Total moment ... 0.0 Bohr magnetons per cell
! Calculated volume ... 20.26 Å³ per atom

***

No. 6
! InIrBr3 (PBE-GGA, relaxed); values from VASP
&SYSTEM
  ibrav = 0, nat = 5, ntyp = 3
/
ATOMIC_SPECIES
In 114.82 In.upf
Ir 192.22 Ir.upf
Br 79.90 Br.upf
CELL_PARAMETERS angstrom
5.1541 0.0000 0.0000
0.0000 5.1541 0.0000
0.0000 0.0000 5.1541
ATOMIC_POSITIONS crystal
In 0.0000 0.0000 0.0000
Ir 0.5000 0.5000 0.5000
Br 0.0000 0.5000 0.5000
Br 0.5000 0.0000 0.5000
Br 0.5000 0.5000 0.0000
! D(E_F) ... 0.5811 states/eV per atom
! Offset from the most stable computed form ... 0.000 eV per atom
! Raw total energy ... -3.364 eV/atom
! ΔE_f (raw) ... -3.9 kJ/mol of atoms
! Total moment ... 0.0 Bohr magnetons per cell
! Calculated volume ... 27.38 Å³ per atom

***

No. 7
! InIr3Br (PBE-GGA, relaxed); values from VASP
&SYSTEM
  ibrav = 0, nat = 5, ntyp = 3
/
ATOMIC_SPECIES
In 114.82 In.upf
Ir 192.22 Ir.upf
Br 79.90 Br.upf
CELL_PARAMETERS angstrom
4.9872 0.0000 0.0000
0.0000 4.9872 0.0000
0.0000 0.0000 4.9872
ATOMIC_POSITIONS crystal
In 0.0000 0.0000 0.0000
Ir 0.0000 0.0000 0.5000
Ir 0.0000 0.5000 0.0000
Ir 0.5000 0.0000 0.0000
Br 0.5000 0.5000 0.5000
! D(E_F) ... 2.2787 states/eV per atom
! Offset from the most stable computed form ... 0.574 eV per atom
! Raw total energy ... -3.978 eV/atom
! ΔE_f (raw) ... 214.3 kJ/mol of atoms
! Total moment ... 3.6 Bohr magnetons per cell
! Calculated volume ... 24.81 Å³ per atom

***

No. 8
! In4IrBr2 (PBE-GGA, relaxed); values from VASP
&SYSTEM
  ibrav = 0, nat = 7, ntyp = 3
/
ATOMIC_SPECIES
In 114.82 In.upf
Ir 192.22 Ir.upf
Br 79.90 Br.upf
CELL_PARAMETERS angstrom
-2.5929 2.5929 8.4763
2.5929 -2.5929 8.4763
2.5929 2.5929 -8.4763
ATOMIC_POSITIONS crystal
In 0.0000 0.5000 0.5000
In 0.1548 0.1548 0.0000
In 0.5000 0.0000 0.5000
In 0.8452 0.8452 0.0000
Ir 0.0000 0.0000 0.0000
Br 0.3237 0.3237 0.0000
Br 0.6763 0.6763 0.0000
! D(E_F) ... 0.7880 states/eV per atom
! Raw total energy ... -3.643 eV/atom
! ΔE_f (raw) ... -32.2 kJ/mol of atoms
! Total moment ... 0.0 Bohr magnetons per cell
! Calculated volume ... 32.57 Å³ per atom

***

No. 9
! InIrBr (PBE-GGA, relaxed); values from VASP
&SYSTEM
  ibrav = 0, nat = 3, ntyp = 3
/
ATOMIC_SPECIES
In 114.82 In.upf
Ir 192.22 Ir.upf
Br 79.90 Br.upf
CELL_PARAMETERS angstrom
3.4677 0.0000 0.0000
-1.7339 3.0031 0.0000
0.0000 0.0000 6.1348
ATOMIC_POSITIONS crystal
In 0.0000 0.0000 0.0000
Ir 0.6667 0.3333 0.2844
Br 0.3333 0.6667 0.6366
! D(E_F) ... 0.5730 states/eV per atom
! Offset from the most stable computed form ... 0.001 eV per atom
! Raw total energy ... -4.034 eV/atom
! ΔE_f (raw) ... 37.6 kJ/mol of atoms
! Total moment ... 0.0 Bohr magnetons per cell
! Calculated volume ... 21.30 Å³ per atom

***

No. 10
! InIrBr (PBE-GGA, relaxed); values from VASP
&SYSTEM
  ibrav = 0, nat = 3, ntyp = 3
/
ATOMIC_SPECIES
In 114.82 In.upf
Ir 192.22 Ir.upf
Br 79.90 Br.upf
CELL_PARAMETERS angstrom
0.0000 3.2228 3.2228
3.2228 0.0000 3.2228
3.2228 3.2228 0.0000
ATOMIC_POSITIONS crystal
In 0.0000 0.0000 0.0000
Ir 0.2500 0.2500 0.2500
Br 0.5000 0.5000 0.5000
! D(E_F) ... 0.7013 states/eV per atom
! Offset from the most stable computed form ... 0.000 eV per atom
! Raw total energy ... -4.035 eV/atom
! ΔE_f (raw) ... 37.5 kJ/mol of atoms
! Total moment ... 0.0 Bohr magnetons per cell
! Calculated volume ... 22.31 Å³ per atom

***

No. 11
! InIrBr (PBE-GGA, relaxed); values from VASP
&SYSTEM
  ibrav = 0, nat = 3, ntyp = 3
/
ATOMIC_SPECIES
In 114.82 In.upf
Ir 192.22 Ir.upf
Br 79.90 Br.upf
CELL_PARAMETERS angstrom
4.5842 0.0000 0.0000
-2.2921 3.9700 0.0000
0.0000 0.0000 3.2521
ATOMIC_POSITIONS crystal
In 0.0000 0.0000 0.0000
Ir 0.6667 0.3333 0.5000
Br 0.3333 0.6667 0.5000
! D(E_F) ... 0.7805 states/eV per atom
! Offset from the most stable computed form ... 0.092 eV per atom
! Raw total energy ... -3.944 eV/atom
! ΔE_f (raw) ... 46.4 kJ/mol of atoms
! Total moment ... 0.0 Bohr magnetons per cell
! Calculated volume ... 19.73 Å³ per atom

***

No. 12
! La8InIr3Br4 (PBE-GGA, relaxed); values from VASP
&SYSTEM
  ibrav = 0, nat = 16, ntyp = 4
/
ATOMIC_SPECIES
La 138.91 La.upf
In 114.82 In.upf
Ir 192.22 Ir.upf
Br 79.90 Br.upf
CELL_PARAMETERS angstrom
4.3208 2.4946 7.8404
-4.3208 2.4946 7.8404
0.0000 -4.9892 7.8404
ATOMIC_POSITIONS crystal
La 0.2084 0.7462 0.7462
La 0.2340 0.2340 0.2340
La 0.2538 0.2538 0.7916
La 0.2538 0.7916 0.2538
La 0.7462 0.2084 0.7462
La 0.7462 0.7462 0.2084
La 0.7660 0.7660 0.7660
La 0.7916 0.2538 0.2538
In 0.5000 0.5000 0.5000
Ir 0.0000 0.0000 0.5000
Ir 0.0000 0.5000 0.0000
Ir 0.5000 0.0000 0.0000
Br 0.0000 0.0000 0.0000
Br 0.0000 0.5000 0.5000
Br 0.5000 0.0000 0.5000
Br 0.5000 0.5000 0.0000
! D(E_F) ... 0.8650 states/eV per atom
! Raw total energy ... -5.808 eV/atom
! ΔE_f (raw) ... -105.5 kJ/mol of atoms
! Total moment ... 0.0 Bohr magnetons per cell
! Calculated volume ... 31.69 Å³ per atom

***

Which of these has the highest calculated volume?
InBr4

***

Among the records above, which one has the lowest calculated volume?
number 11